DFT (PBE-GGA) results for a relaxed structure of NdSm2Dy6.

offset from the most stable computed form = 0.2078 eV/atom
formation energy from the elements = 0.227 eV per atom

Cell lengths 6.057, 7.502, 7.502 Å; angles 60.01, 89.99, 89.99 degrees
Sites, in units of the cell vectors:
Nd  0.000  0.000  0.000
Sm  0.786  0.667  0.667
Dy  0.705  0.625  0.187
Dy  0.705  0.187  0.625
Sm  0.214  0.333  0.333
Dy  0.295  0.813  0.813
Dy  0.295  0.375  0.813
Dy  0.295  0.813  0.375
Dy  0.705  0.187  0.187


DFT (PBE-GGA) results for a relaxed structure of K2Rb3ReO6.

Cell lengths 6.475, 6.475, 6.514 Å; angles 99.69, 99.69, 119.69 degrees
Sites, in units of the cell vectors:
K  0.666  0.334  0.000
Re  0.000  0.000  0.000
O  0.940  0.696  0.819
K  0.334  0.666  0.000
Rb  0.500  0.500  0.500
O  0.060  0.304  0.181
Rb  0.832  0.168  0.500
O  0.819  0.819  0.182
Rb  0.168  0.832  0.500
O  0.304  0.060  0.181
O  0.696  0.940  0.819
O  0.181  0.181  0.818


DFT (PBE-GGA) results for a relaxed structure of In2AuSe.

Cell lengths 6.930, 6.930, 6.930 Å; angles 146.32, 146.32, 48.36 degrees
Sites, in units of the cell vectors:
Au  0.750  0.250  0.500
Se  0.500  0.500  0.000
In  0.000  0.000  0.000
In  0.250  0.750  0.500


DFT (PBE-GGA) results for a relaxed structure of Nd4Ho3Se8.

offset from the most stable computed form = 0.2085 eV/atom

Cell lengths 8.141, 8.141, 8.996 Å; angles 63.10, 63.10, 60.00 degrees
Sites, in units of the cell vectors:
Ho  0.000  0.500  0.500
Nd  0.000  0.000  0.000
Se  0.750  0.235  0.265
Se  0.231  0.231  0.308
Nd  0.354  0.354  0.939
Se  0.250  0.765  0.735
Se  0.250  0.250  0.735
Ho  0.000  0.000  0.500
Nd  0.500  0.500  0.500
Nd  0.646  0.646  0.061
Ho  0.500  0.000  0.500
Se  0.235  0.750  0.265
Se  0.769  0.769  0.692
Se  0.750  0.750  0.265
Se  0.765  0.250  0.735


What are the Fermi-level density of states values for these records? In order: 13.66 0.00 1.23 6.89 states/eV per cell.
What are the calculated total energy values for these records? In order: -4.4199 -5.5544 -3.1752 -5.6678 eV/atom.